CsSnH2Cl8 | PBE | relaxed

Output
calculated volume: 32.2 A^3/atom
M_tot: 0.00 μB per atom
space group: P-1 (2)
DFT total energy: -2.979 eV/atom
DOS(E_F): 2.05 states/eV/f.u.

Structure (POSCAR):
```
CsSnH2Cl8
1.0
5.952 0.000 0.000
0.617 5.931 0.000
0.239 1.411 10.932
Cs Sn H Cl
1 1 2 8
direct
0.000 0.000 0.000
0.000 0.000 0.500
0.466 0.071 0.334
0.534 0.929 0.666
0.237 0.660 0.498
0.238 0.101 0.664
0.261 0.199 0.320
0.485 0.272 0.998
0.515 0.728 0.002
0.739 0.801 0.680
0.762 0.899 0.336
0.763 0.340 0.502
```